[1]
! Ac6Sm (GGA-PBE, relaxed); values from VASP
! Size of the total moment   0.0 μB per formula unit
! Calculated formation energy   311 meV/atom
! Volume   641.5 Å³ per cell
&SYSTEM
  ibrav = 0, nat = 14, ntyp = 2
/
ATOMIC_SPECIES
Ac 227.00 Ac.upf
Sm 150.36 Sm.upf
ATOMIC_POSITIONS crystal
Ac 0.172 0.328 0.363
Ac 0.328 0.172 0.637
Ac 0.500 0.500 0.139
Ac 0.000 0.000 0.139
Ac 0.000 0.000 0.861
Ac 0.172 0.672 0.637
Ac 0.672 0.828 0.637
Ac 0.828 0.672 0.363
Ac 0.328 0.828 0.363
Ac 0.828 0.328 0.637
Ac 0.500 0.500 0.861
Ac 0.672 0.172 0.363
Sm 0.500 0.000 0.000
Sm 0.000 0.500 0.000
CELL_PARAMETERS angstrom
-5.212 -1.390 4.733
3.087 -6.290 1.552
6.678 5.490 8.966


[2]
! LaCdTc (GGA-PBE, relaxed); values from VASP
! Size of the total moment   0.0 μB per formula unit
! Calculated formation energy   272 meV/atom
! Volume   69.8 Å³ per cell
! Energy above the most stable polymorph in this dataset   95 kJ/mol of formula units
&SYSTEM
  ibrav = 0, nat = 3, ntyp = 3
/
ATOMIC_SPECIES
Tc 98.00 Tc.upf
Cd 112.41 Cd.upf
La 138.91 La.upf
ATOMIC_POSITIONS crystal
Tc 0.654 0.654 0.000
Cd 0.029 0.029 0.000
La 0.317 0.317 0.000
CELL_PARAMETERS angstrom
5.972 -0.079 0.000
3.871 4.548 0.000
-4.922 -2.235 2.541


[3]
! TcNi2TeAs (GGA-PBE, relaxed); values from VASP
! Size of the total moment   0.0 μB per formula unit
! Formation energy without anion corrections   1.109 eV/atom
! Volume   104.8 Å³ per cell
&SYSTEM
  ibrav = 0, nat = 5, ntyp = 4
/
ATOMIC_SPECIES
Te 127.60 Te.upf
Ni 58.69 Ni.upf
As 74.92 As.upf
Tc 98.00 Tc.upf
ATOMIC_POSITIONS crystal
Te 0.000 0.500 0.000
Ni 0.500 0.000 0.000
Ni 0.000 0.000 0.500
As 0.500 0.500 0.500
Tc 0.000 0.000 0.000
CELL_PARAMETERS angstrom
-0.183 -0.019 -4.572
0.363 -4.991 0.006
-4.560 -0.332 0.184


[4]
! Pm3HfTl4S8 (GGA-PBE, relaxed); values from VASP
! Size of the total moment   0.0 μB per formula unit
! Formation energy without anion corrections   -1.346 eV/atom
! Volume   429.8 Å³ per cell
&SYSTEM
  ibrav = 0, nat = 16, ntyp = 4
/
ATOMIC_SPECIES
Pm 145.00 Pm.upf
S 32.06 S.upf
Tl 204.38 Tl.upf
Hf 178.49 Hf.upf
ATOMIC_POSITIONS crystal
Pm 0.000 0.500 0.500
Pm 0.500 0.500 0.000
Pm 0.500 0.500 0.500
S 0.265 0.294 0.529
S 0.783 0.307 0.024
S 0.217 0.693 0.435
S 0.759 0.693 0.976
S 0.783 0.307 0.565
S 0.735 0.706 0.471
S 0.217 0.693 0.976
S 0.241 0.307 0.024
Tl 0.500 0.000 0.000
Tl 0.000 0.000 0.000
Tl 0.500 0.000 0.500
Tl 0.000 0.000 0.500
Hf 0.000 0.500 0.000
CELL_PARAMETERS angstrom
8.041 0.000 0.000
0.000 8.955 0.637
-4.020 -4.027 5.683


[5]
! YMg2Se (GGA-PBE, relaxed); values from VASP
! Size of the total moment   0.0 μB per formula unit
! Formation energy without anion corrections   -0.446 eV/atom
! Volume   99.2 Å³ per cell
&SYSTEM
  ibrav = 0, nat = 4, ntyp = 3
/
ATOMIC_SPECIES
Se 78.96 Se.upf
Mg 24.30 Mg.upf
Y 88.91 Y.upf
ATOMIC_POSITIONS crystal
Se 0.500 0.250 0.250
Mg 0.000 0.394 0.475
Mg 0.000 0.106 0.025
Y 0.500 0.750 0.750
CELL_PARAMETERS angstrom
-4.002 2.502 1.489
1.020 -0.531 3.633
3.167 4.263 1.349


[6]
! PrTmPS (GGA-PBE, relaxed); values from VASP
! Size of the total moment   0.3 μB per formula unit
! Formation energy without anion corrections   -1.751 eV/atom
! Volume   94.1 Å³ per cell
&SYSTEM
  ibrav = 0, nat = 4, ntyp = 4
/
ATOMIC_SPECIES
P 30.97 P.upf
Pr 140.91 Pr.upf
S 32.06 S.upf
Tm 168.93 Tm.upf
ATOMIC_POSITIONS crystal
P 0.317 0.556 0.888
Pr 0.481 0.138 0.635
S 0.955 0.376 0.346
Tm 0.125 0.961 0.101
CELL_PARAMETERS angstrom
-2.509 1.737 2.510
2.796 -2.435 1.369
5.110 5.034 -1.483


[7]
! K12Hg5Pb3 (GGA-PBE, relaxed); values from VASP
! Size of the total moment   0.7 μB per formula unit
! Calculated formation energy   -19 meV/atom
! Volume   4373.6 Å³ per cell
&SYSTEM
  ibrav = 0, nat = 80, ntyp = 3
/
ATOMIC_SPECIES
Pb 207.20 Pb.upf
K 39.10 K.upf
Hg 200.59 Hg.upf
ATOMIC_POSITIONS crystal
Pb 0.750 0.875 0.625
Pb 0.125 0.250 0.875
Pb 0.875 0.750 0.125
Pb 0.625 0.375 0.750
Pb 0.125 0.875 0.750
Pb 0.250 0.625 0.875
Pb 0.375 0.625 0.250
Pb 0.625 0.250 0.375
Pb 0.875 0.125 0.250
Pb 0.375 0.750 0.625
Pb 0.250 0.125 0.375
Pb 0.750 0.375 0.125
K 0.169 0.091 0.730
K 0.331 0.770 0.409
K 0.078 0.909 0.139
K 0.770 0.331 0.909
K 0.770 0.440 0.361
K 0.922 0.831 0.560
K 0.270 0.409 0.831
K 0.361 0.940 0.770
K 0.409 0.139 0.578
K 0.669 0.440 0.578
K 0.578 0.940 0.669
K 0.361 0.422 0.091
K 0.091 0.922 0.361
K 0.591 0.861 0.422
K 0.861 0.270 0.440
K 0.639 0.060 0.230
K 0.078 0.169 0.440
K 0.831 0.909 0.270
K 0.560 0.230 0.139
K 0.091 0.169 0.230
K 0.139 0.730 0.560
K 0.331 0.560 0.422
K 0.922 0.091 0.861
K 0.422 0.060 0.331
K 0.139 0.409 0.078
K 0.440 0.669 0.078
K 0.591 0.730 0.669
K 0.730 0.591 0.169
K 0.230 0.669 0.091
K 0.639 0.578 0.909
K 0.831 0.922 0.060
K 0.230 0.560 0.639
K 0.940 0.361 0.270
K 0.560 0.331 0.922
K 0.270 0.861 0.940
K 0.169 0.078 0.940
K 0.440 0.770 0.861
K 0.940 0.578 0.169
K 0.861 0.591 0.922
K 0.730 0.139 0.060
K 0.909 0.831 0.770
K 0.578 0.639 0.409
K 0.060 0.639 0.730
K 0.060 0.422 0.831
K 0.909 0.078 0.639
K 0.422 0.361 0.591
K 0.669 0.230 0.591
K 0.409 0.270 0.331
Hg 0.500 0.500 0.000
Hg 0.125 0.375 0.250
Hg 0.875 0.625 0.750
Hg 0.500 0.000 0.500
Hg 0.375 0.250 0.125
Hg 0.625 0.875 0.250
Hg 0.500 0.500 0.500
Hg 0.250 0.375 0.625
Hg 0.875 0.250 0.625
Hg 0.750 0.625 0.375
Hg 0.375 0.125 0.750
Hg 0.000 0.500 0.000
Hg 0.625 0.750 0.875
Hg 0.500 0.000 0.000
Hg 0.125 0.750 0.375
Hg 0.000 0.500 0.500
Hg 0.000 0.000 0.500
Hg 0.750 0.125 0.875
Hg 0.000 0.000 0.000
Hg 0.250 0.875 0.125
CELL_PARAMETERS angstrom
17.844 0.000 0.000
-5.948 16.823 0.000
-5.948 -8.412 14.569


[8]
! Sm2LuSn (GGA-PBE, relaxed); values from VASP
! Size of the total moment   0.0 μB per formula unit
! Calculated formation energy   -255 meV/atom
! Volume   114.4 Å³ per cell
! Energy above the most stable polymorph in this dataset   62 kJ/mol of formula units
&SYSTEM
  ibrav = 0, nat = 4, ntyp = 3
/
ATOMIC_SPECIES
Sm 150.36 Sm.upf
Sn 118.71 Sn.upf
Lu 174.97 Lu.upf
ATOMIC_POSITIONS crystal
Sm 0.750 0.750 0.750
Sm 0.250 0.250 0.250
Sn 0.500 0.500 0.500
Lu 0.000 0.000 0.000
CELL_PARAMETERS angstrom
5.449 0.000 0.000
2.725 4.719 0.000
2.725 1.573 4.449


[9]
! CaCuPb3 (GGA-PBE, relaxed); values from VASP
! Size of the total moment   0.0 μB per formula unit
! Calculated formation energy   20 meV/atom
! Volume   153.0 Å³ per cell
! Energy above the most stable polymorph in this dataset   0 kJ/mol of formula units
&SYSTEM
  ibrav = 0, nat = 5, ntyp = 3
/
ATOMIC_SPECIES
Pb 207.20 Pb.upf
Cu 63.55 Cu.upf
Ca 40.08 Ca.upf
ATOMIC_POSITIONS crystal
Pb 0.000 0.500 0.000
Pb 0.500 0.000 0.000
Pb 0.000 0.000 0.500
Cu 0.000 0.000 0.000
Ca 0.500 0.500 0.500
CELL_PARAMETERS angstrom
5.348 0.000 0.000
0.000 5.348 0.000
0.000 0.000 5.348


[10]
! ZnSiP2 (GGA-PBE, relaxed); values from VASP
! Size of the total moment   0.0 μB per formula unit
! Formation energy without anion corrections   0.482 eV/atom
! Volume   60.2 Å³ per cell
! Energy above the most stable polymorph in this dataset   306 kJ/mol of formula units
&SYSTEM
  ibrav = 0, nat = 4, ntyp = 3
/
ATOMIC_SPECIES
Si 28.09 Si.upf
P 30.97 P.upf
Zn 65.41 Zn.upf
ATOMIC_POSITIONS crystal
Si 0.500 0.500 0.250
P 0.000 0.000 0.015
P 0.000 0.000 0.485
Zn 0.500 0.500 0.750
CELL_PARAMETERS angstrom
-2.138 -1.594 0.217
2.127 -1.431 -0.766
2.035 -1.563 8.568


[11]
! Mg2F (GGA-PBE, relaxed); values from VASP
! Size of the total moment   0.0 μB per formula unit
! Formation energy without anion corrections   -1.471 eV/atom
! Volume   110.0 Å³ per cell
! Energy above the most stable polymorph in this dataset   27 kJ/mol of formula units
&SYSTEM
  ibrav = 0, nat = 6, ntyp = 2
/
ATOMIC_SPECIES
F 19.00 F.upf
Mg 24.30 Mg.upf
ATOMIC_POSITIONS crystal
F 0.584 0.000 0.735
F 0.482 0.500 0.045
Mg 0.325 0.000 0.175
Mg 0.883 0.500 0.233
Mg 0.900 0.000 0.678
Mg 0.361 0.500 0.676
CELL_PARAMETERS angstrom
5.910 0.000 0.161
0.000 3.177 0.000
-2.020 0.000 5.805


[12]
! ZnSiIr2 (GGA-PBE, relaxed); values from VASP
! Size of the total moment   0.0 μB per formula unit
! Formation energy without anion corrections   -0.367 eV/atom
! Volume   56.7 Å³ per cell
&SYSTEM
  ibrav = 0, nat = 4, ntyp = 3
/
ATOMIC_SPECIES
Si 28.09 Si.upf
Zn 65.41 Zn.upf
Ir 192.22 Ir.upf
ATOMIC_POSITIONS crystal
Si 0.250 0.250 0.250
Zn 0.750 0.750 0.750
Ir 0.992 0.992 0.992
Ir 0.508 0.508 0.508
CELL_PARAMETERS angstrom
-2.372 3.391 7.062
0.091 2.198 7.884
0.094 4.774 6.648